Record 1
BaLiLuS3 | GGA-PBE | optimized geometry

```
BaLiLuS3
1.0
-2.307 8.159 -2.015
-3.442 7.796 1.824
8.114 0.805 2.477
Ba Li Lu S
2 2 2 6
Direct
0.137 0.137 0.066
0.863 0.863 0.934
0.494 0.494 0.302
0.506 0.506 0.698
0.836 0.836 0.421
0.164 0.164 0.579
0.500 0.500 0.000
0.332 0.332 0.210
0.671 0.671 0.368
0.000 0.000 0.500
0.329 0.329 0.632
0.668 0.668 0.790
```

Properties
The total energy comes out at -5.385 eV/atom. The size of the total moment is 0.01 μB per cell.



Record 2
RbNiBi | GGA-PBE | optimized geometry

```
RbNiBi
1.0
0.000 4.081 4.081
4.081 0.000 4.081
4.081 4.081 0.000
Bi Ni Rb
1 1 1
Direct
0.250 0.250 0.250
0.750 0.750 0.750
0.000 0.000 0.000
```

Properties
The total energy comes out at -2.201 eV/atom. The size of the total moment is 0.13 μB per cell.



Record 3
GdRePb | GGA-PBE | optimized geometry

```
GdRePb
1.0
0.000 3.447 3.447
3.447 0.000 3.447
3.447 3.447 0.000
Gd Pb Re
1 1 1
Direct
0.000 0.000 0.000
0.250 0.250 0.250
0.750 0.750 0.750
```

Properties
The total energy comes out at -5.653 eV/atom. The size of the total moment is 1.12 μB per cell.



Record 4
Ho2CoSi2WC | GGA-PBE | optimized geometry

```
Ho2CoSi2WC
1.0
-4.320 3.569 -1.428
-4.579 2.656 2.329
6.616 1.868 0.910
C Co Ho Si W
1 1 2 2 1
Direct
0.988 0.988 0.991
0.792 0.792 0.909
0.566 0.566 0.296
0.430 0.430 0.702
0.867 0.867 0.320
0.157 0.157 0.694
0.198 0.198 0.088
```

Properties
The total energy comes out at -7.611 eV/atom. The size of the total moment is 0.00 μB per cell.



Record 5
KPrCuS3 | GGA-PBE | optimized geometry

```
KPrCuS3
1.0
-5.336 -6.912 -0.531
2.850 -2.042 -2.059
4.774 -1.374 7.969
Cu K Pr S
2 2 2 6
Direct
0.583 0.250 0.105
0.417 0.750 0.895
0.301 0.750 0.263
0.699 0.250 0.737
0.826 0.750 0.354
0.174 0.250 0.646
0.675 0.750 0.035
0.049 0.250 0.339
0.599 0.250 0.352
0.401 0.750 0.648
0.951 0.750 0.661
0.325 0.250 0.965
```

Properties
The total energy comes out at -4.881 eV/atom. The size of the total moment is 0.01 μB per cell.



Record 6
BaYCuTe3 | GGA-PBE | optimized geometry

```
BaYCuTe3
1.0
4.424 0.000 0.000
2.212 7.499 0.000
0.000 0.000 11.365
Ba Cu Te Y
2 2 6 2
Direct
0.251 0.499 0.250
0.749 0.501 0.750
0.533 0.934 0.250
0.467 0.066 0.750
0.637 0.726 0.060
0.929 0.142 0.250
0.637 0.726 0.440
0.363 0.274 0.560
0.071 0.858 0.750
0.363 0.274 0.940
0.000 0.000 0.000
0.000 0.000 0.500
```

Properties
The total energy comes out at -4.841 eV/atom. The size of the total moment is 0.00 μB per cell.



Record 7
Sc2Sb3Mo4C3 | GGA-PBE | optimized geometry

```
Sc2Sb3Mo4C3
1.0
-1.402 5.526 0.351
-2.276 2.017 4.835
13.290 0.537 3.010
C Mo Sb Sc
6 8 6 4
Direct
0.500 0.000 0.000
0.844 0.330 0.001
0.670 0.156 0.499
0.000 0.500 0.500
0.330 0.844 0.501
0.156 0.670 0.999
0.842 0.694 0.075
0.198 0.007 0.077
0.993 0.802 0.423
0.306 0.158 0.425
0.694 0.842 0.575
0.007 0.198 0.577
0.802 0.993 0.923
0.158 0.306 0.925
0.579 0.781 0.247
0.942 0.058 0.250
0.219 0.421 0.253
0.781 0.579 0.747
0.058 0.942 0.750
0.421 0.219 0.753
0.530 0.367 0.096
0.633 0.470 0.404
0.367 0.530 0.596
0.470 0.633 0.904
```

Properties
The total energy comes out at -8.281 eV/atom. The size of the total moment is 0.00 μB per cell.



Record 8
NpBr2Cl8 | GGA-PBE | optimized geometry

```
NpBr2Cl8
1.0
-0.335 3.938 7.081
-5.847 -0.976 5.534
4.456 -5.903 2.876
Br Cl Np
2 8 1
Direct
0.256 0.256 0.416
0.744 0.744 0.584
0.655 0.116 0.058
0.116 0.655 0.058
0.059 0.059 0.305
0.602 0.602 0.476
0.398 0.398 0.524
0.941 0.941 0.695
0.884 0.345 0.942
0.345 0.884 0.942
0.000 0.000 0.000
```

Properties
The total energy comes out at -3.636 eV/atom. The size of the total moment is 1.00 μB per cell.



Record 9
DyCu | GGA-PBE | optimized geometry

```
DyCu
1.0
4.272 0.000 0.000
-2.136 3.700 0.000
0.000 0.000 5.880
Cu Dy
2 2
Direct
0.000 0.000 0.000
0.000 0.000 0.500
0.667 0.333 0.250
0.333 0.667 0.750
```

Properties
The total energy comes out at -4.193 eV/atom. The calculation puts the formation energy from the elements at -34 meV/atom. The size of the total moment is 0.08 μB per cell.



Record 10
Pr2Sm2Br5N2 | GGA-PBE | optimized geometry

```
Pr2Sm2Br5N2
1.0
-1.622 -9.037 -2.945
1.277 -9.537 -0.612
-5.099 0.955 6.542
Br N Pr Sm
5 2 2 2
Direct
0.500 0.500 0.000
0.838 0.838 0.128
0.171 0.171 0.323
0.829 0.829 0.677
0.162 0.162 0.872
0.462 0.462 0.478
0.538 0.538 0.522
0.000 0.000 0.302
0.000 0.000 0.698
0.340 0.340 0.402
0.660 0.660 0.598
```

Properties
The total energy comes out at -5.479 eV/atom. The size of the total moment is 0.02 μB per cell.



Record 11
AcBePd | GGA-PBE | optimized geometry

```
AcBePd
1.0
0.000 3.377 3.377
3.377 0.000 3.377
3.377 3.377 0.000
Ac Be Pd
1 1 1
Direct
0.000 0.000 0.000
0.500 0.500 0.500
0.750 0.750 0.750
```

Properties
The total energy comes out at -4.350 eV/atom. The size of the total moment is 0.01 μB per cell.



Record 12
LiHoCoTe3 | GGA-PBE | optimized geometry

```
LiHoCoTe3
1.0
4.064 0.000 0.000
2.032 7.101 0.000
0.000 0.000 11.140
Co Ho Li Te
2 2 2 6
Direct
0.523 0.953 0.250
0.477 0.047 0.750
0.000 0.000 0.000
0.000 0.000 0.500
0.190 0.621 0.250
0.810 0.379 0.750
0.646 0.709 0.077
0.912 0.176 0.250
0.646 0.709 0.423
0.354 0.291 0.577
0.088 0.824 0.750
0.354 0.291 0.923
```

Properties
The total energy comes out at -4.570 eV/atom. The size of the total moment is 4.29 μB per cell.